[1]
SrTiRh2 | PBE | relaxed

Cell: 3.173 3.173 7.443 Å, 90.00 90.00 90.00°
Atoms (fractional coordinates):
Sr 0.000 0.000 0.000
Ti 0.000 0.000 0.500
Rh 0.500 0.500 0.307
Rh 0.500 0.500 0.693

Calculated values
**Calculated formation energy**: -0.48 eV per atom
**SG**: P4/mmm
**Relative energy among the computed polymorphs**: 0 meV per atom
**V**: 18.73 A^3/atom

[2]
SrTiRh2 | PBE | relaxed

Cell: 6.052 6.052 6.052 Å, 106.01 106.01 116.64°
Atoms (fractional coordinates):
Sr 0.000 0.000 0.000
Sr 0.750 0.250 0.500
Ti 0.250 0.750 0.500
Ti 0.500 0.500 0.000
Rh 0.187 0.625 0.062
Rh 0.375 0.437 0.562
Rh 0.563 0.125 0.938
Rh 0.875 0.813 0.438

Calculated values
**Calculated formation energy**: -0.11 eV per atom
**SG**: I-42d
**Relative energy among the computed polymorphs**: 362 meV per atom
**V**: 21.07 A^3/atom

Q: Which of these has the highest calculated formation energy?
A: number 2

Q: calculated formation energy of number 1 (SrTiRh2)?
A: -0.48 eV per atom